Here is a relaxed NpPdRhO6 crystal from Alexandria via LeMat-Bulk. Energies are from PBE.

Results
total moment = 4.1 μB per cell
crystal system = trigonal
space-group type = P-31c (163)
uncorrected energy = -7.58 eV/atom
formation energy without anion corrections = -1.44 eV/atom

Cell: 5.247 5.247 9.117 Å, 90.00 90.00 120.00°
Sites, in units of the cell vectors:
1 O 0.320 0.991 0.623
2 O 0.329 0.009 0.123
3 O 0.991 0.671 0.377
4 O 0.671 0.680 0.623
5 O 0.680 0.009 0.377
6 Np 0.667 0.333 0.250
7 Rh 0.000 0.000 0.500
8 O 0.009 0.680 0.877
9 O 0.991 0.320 0.123
10 Np 0.333 0.667 0.750
11 O 0.320 0.329 0.877
12 O 0.009 0.329 0.623
13 O 0.329 0.320 0.377
14 Rh 0.000 0.000 0.000
15 O 0.671 0.991 0.877
16 O 0.680 0.671 0.123
17 Pd 0.667 0.333 0.750
18 Pd 0.333 0.667 0.250



Here is a relaxed Np2PdRhO8 crystal from Alexandria via LeMat-Bulk. Energies are from PBE.

Results
total moment = 3.0 μB per cell
crystal system = tetragonal
space-group type = I-4m2 (119)
uncorrected energy = -8.15 eV/atom
formation energy without anion corrections = -1.64 eV/atom

Cell: 5.182 5.182 6.434 Å, 113.75 113.75 90.00°
Sites, in units of the cell vectors:
1 O 0.133 0.637 0.758
2 Rh 0.000 0.000 0.000
3 Pd 0.750 0.250 0.500
4 O 0.624 0.635 0.757
5 O 0.133 0.122 0.757
6 Np 0.250 0.750 0.500
7 O 0.363 0.375 0.242
8 Np 0.500 0.500 0.000
9 O 0.879 0.867 0.242
10 O 0.365 0.867 0.243
11 O 0.625 0.121 0.758
12 O 0.878 0.376 0.243



Here is a relaxed NpSbPdO crystal from Alexandria via LeMat-Bulk. Energies are from PBE.

Results
total moment = 7.5 μB per cell
crystal system = tetragonal
space-group type = P4/nmm (129)
uncorrected energy = -8.23 eV/atom
formation energy without anion corrections = -1.43 eV/atom

Cell: 4.089 4.089 9.020 Å, 90.00 90.00 90.00°
Sites, in units of the cell vectors:
1 O 0.000 0.000 0.500
2 Pd 0.000 0.000 0.000
3 Np 0.000 0.500 0.376
4 Sb 0.500 0.000 0.190
5 Pd 0.500 0.500 0.000
6 Np 0.500 0.000 0.624
7 Sb 0.000 0.500 0.810
8 O 0.500 0.500 0.500



Here is a relaxed NpSc2PdO8 crystal from Alexandria via LeMat-Bulk. Energies are from PBE.

Results
total moment = 1.0 μB per cell
crystal system = monoclinic
space-group type = P2/m (10)
uncorrected energy = -8.30 eV/atom
formation energy without anion corrections = -2.43 eV/atom

Cell: 4.880 4.874 6.389 Å, 90.00 90.00 92.40°
Sites, in units of the cell vectors:
1 O 0.189 0.809 0.253
2 O 0.300 0.298 0.500
3 O 0.811 0.191 0.747
4 Pd 0.000 0.000 0.500
5 Np 0.000 0.000 0.000
6 O 0.700 0.702 0.500
7 Sc 0.500 0.500 0.737
8 O 0.188 0.809 0.747
9 O 0.303 0.301 0.000
10 Sc 0.500 0.500 0.263
11 O 0.697 0.699 0.000
12 O 0.812 0.191 0.253



Here is a relaxed NpScPdO6 crystal from Alexandria via LeMat-Bulk. Energies are from PBE.

Results
total moment = 4.1 μB per cell
crystal system = trigonal
space-group type = P-31c (163)
uncorrected energy = -8.24 eV/atom
formation energy without anion corrections = -2.22 eV/atom

Cell: 5.293 5.293 9.473 Å, 90.00 90.00 120.00°
Sites, in units of the cell vectors:
1 O 0.670 0.006 0.371
2 O 0.994 0.330 0.129
3 O 0.330 0.994 0.629
4 O 0.330 0.336 0.871
5 Pd 0.333 0.667 0.250
6 O 0.006 0.670 0.871
7 Np 0.667 0.333 0.250
8 O 0.336 0.006 0.129
9 O 0.994 0.664 0.371
10 Sc 0.000 0.000 0.500
11 Pd 0.667 0.333 0.750
12 O 0.664 0.670 0.629
13 O 0.670 0.664 0.129
14 O 0.336 0.330 0.371
15 Sc 0.000 0.000 0.000
16 O 0.664 0.994 0.871
17 Np 0.333 0.667 0.750
18 O 0.006 0.336 0.629



Here is a relaxed NpPdSeO crystal from Alexandria via LeMat-Bulk. Energies are from PBE.

Results
total moment = 6.0 μB per cell
crystal system = tetragonal
space-group type = P4/nmm (129)
uncorrected energy = -8.22 eV/atom
formation energy without anion corrections = -1.58 eV/atom

Cell: 3.944 3.944 8.612 Å, 90.00 90.00 90.00°
Sites, in units of the cell vectors:
1 Pd 0.500 0.500 0.000
2 Se 0.500 0.000 0.205
3 Pd 0.000 0.000 0.000
4 Np 0.500 0.000 0.644
5 Se 0.000 0.500 0.795
6 O 0.500 0.500 0.500
7 O 0.000 0.000 0.500
8 Np 0.000 0.500 0.356



Here is a relaxed Sr2NpPdO6 crystal from Alexandria via LeMat-Bulk. Energies are from PBE.

Results
total moment = 1.0 μB per cell
crystal system = monoclinic
space-group type = C2/m (12)
uncorrected energy = -7.58 eV/atom
formation energy without anion corrections = -2.45 eV/atom

Cell: 5.424 5.664 6.278 Å, 116.81 112.95 90.00°
Sites, in units of the cell vectors:
1 Pd 0.500 0.000 0.000
2 O 0.809 0.829 0.145
3 O 0.191 0.171 0.855
4 O 0.707 0.317 0.634
5 O 0.191 0.684 0.855
6 Sr 0.210 0.241 0.482
7 O 0.293 0.683 0.366
8 Sr 0.790 0.759 0.518
9 Np 0.000 0.500 0.000
10 O 0.809 0.316 0.145



Here is a relaxed NpTaPdO6 crystal from Alexandria via LeMat-Bulk. Energies are from PBE.

Results
total moment = 0.0 μB per cell
crystal system = trigonal
space-group type = P-31c (163)
uncorrected energy = -8.80 eV/atom
formation energy without anion corrections = -2.16 eV/atom

Cell: 5.514 5.514 9.348 Å, 90.00 90.00 120.00°
Sites, in units of the cell vectors:
1 O 0.356 0.368 0.863
2 O 0.644 0.632 0.137
3 O 0.368 0.013 0.137
4 O 0.987 0.356 0.137
5 O 0.987 0.632 0.363
6 Np 0.333 0.667 0.250
7 O 0.644 0.013 0.363
8 O 0.013 0.368 0.637
9 Ta 0.333 0.667 0.750
10 O 0.632 0.644 0.637
11 Ta 0.667 0.333 0.250
12 O 0.368 0.356 0.363
13 O 0.356 0.987 0.637
14 O 0.013 0.644 0.863
15 Np 0.667 0.333 0.750
16 Pd 0.000 0.000 0.000
17 O 0.632 0.987 0.863
18 Pd 0.000 0.000 0.500



Here is a relaxed NpTePdO crystal from Alexandria via LeMat-Bulk. Energies are from PBE.

Results
total moment = 6.2 μB per cell
crystal system = tetragonal
space-group type = P4/nmm (129)
uncorrected energy = -8.05 eV/atom
formation energy without anion corrections = -1.50 eV/atom

Cell: 4.034 4.034 9.269 Å, 90.00 90.00 90.00°
Sites, in units of the cell vectors:
1 Np 0.000 0.500 0.373
2 O 0.500 0.500 0.500
3 Pd 0.000 0.000 0.000
4 O 0.000 0.000 0.500
5 Te 0.000 0.500 0.800
6 Pd 0.500 0.500 0.000
7 Te 0.500 0.000 0.200
8 Np 0.500 0.000 0.627



Here is a relaxed NpTe2PdO crystal from Alexandria via LeMat-Bulk. Energies are from PBE.

Results
total moment = 6.9 μB per cell
crystal system = tetragonal
space-group type = P4/nmm (129)
uncorrected energy = -7.20 eV/atom
formation energy without anion corrections = -1.32 eV/atom

Cell: 3.951 3.951 14.238 Å, 90.00 90.00 90.00°
Sites, in units of the cell vectors:
1 Te 0.500 0.000 0.295
2 O 0.000 0.000 0.500
3 Te 0.500 0.000 0.917
4 Te 0.000 0.500 0.705
5 Pd 0.500 0.000 0.105
6 Pd 0.000 0.500 0.895
7 Np 0.500 0.000 0.585
8 Te 0.000 0.500 0.083
9 O 0.500 0.500 0.500
10 Np 0.000 0.500 0.415



Look up the uncorrected energy of the ninth one.
-8.05 eV/atom



What is the formula in the fifth record?
NpScPdO6



What is the formation energy without anion corrections in the eighth record?
-2.16 eV/atom